Pd3Pt2Au2 PBE-GGA relaxed; V = 16.16 Å³/atom; electronic total energy = -4.89 eV/atom; DFT formation energy = -0.0061 eV/atom; DOS at the Fermi energy = 12.96 states/eV per cell; symmetry = P-1, No. 2
1.0
-2.796 -2.140 3.423
4.207 3.562 3.230
-0.244 4.693 1.549
Pd Au Pt
3 2 2
Direct
0.140 0.567 0.717
0.000 0.000 0.000
0.860 0.433 0.283
0.713 0.853 0.575
0.287 0.147 0.425
0.428 0.716 0.150
0.572 0.284 0.850


Pd2Pt6Au PBE-GGA relaxed; V = 15.80 Å³/atom; electronic total energy = -5.56 eV/atom; DFT formation energy = -0.0111 eV/atom; DOS at the Fermi energy = 34.31 states/eV per cell; symmetry = P4_2/mnm, No. 136
1.0
-2.941 -2.727 -0.280
4.986 -4.898 -4.679
2.833 -3.769 6.964
Pd Pt Au
4 12 2
Direct
0.500 0.837 0.664
0.000 0.337 0.836
0.500 0.163 0.336
0.000 0.663 0.164
0.500 0.828 0.328
0.000 0.665 0.494
0.000 0.672 0.828
0.500 0.506 0.665
0.500 0.494 0.335
0.000 0.328 0.172
0.000 0.006 0.835
0.500 0.172 0.672
0.500 0.835 0.994
0.000 0.335 0.506
0.500 0.165 0.006
0.000 0.994 0.165
0.000 0.000 0.500
0.500 0.500 0.000


Pd2PtAu3 PBE-GGA relaxed; energy above the most stable polymorph in this dataset = 0 meV/atom; V = 16.69 Å³/atom; electronic total energy = -4.42 eV/atom; DFT formation energy = -0.0404 eV/atom; DOS at the Fermi energy = 11.33 states/eV per cell; symmetry = P-1, No. 2
1.0
4.923 -0.457 -0.127
0.648 6.764 1.927
-1.421 0.881 6.211
Pd Au Pt
4 6 2
Direct
0.872 0.376 0.867
0.379 0.872 0.378
0.621 0.128 0.622
0.128 0.624 0.133
0.794 0.956 0.126
0.206 0.044 0.874
0.039 0.211 0.371
0.454 0.294 0.121
0.546 0.706 0.879
0.961 0.789 0.629
0.293 0.461 0.617
0.707 0.539 0.383


PdPtAu PBE-GGA relaxed; energy above the most stable polymorph in this dataset = 0 meV/atom; V = 16.31 Å³/atom; electronic total energy = -4.85 eV/atom; DFT formation energy = -0.0108 eV/atom; DOS at the Fermi energy = 9.67 states/eV per cell; symmetry = C2/m, No. 12
1.0
-2.158 -0.977 4.277
-3.115 -3.495 1.411
3.231 -4.137 2.555
Pd Au Pt
2 2 2
Direct
0.000 0.500 0.242
0.000 0.500 0.758
0.666 0.166 0.417
0.334 0.834 0.583
0.335 0.835 0.075
0.665 0.165 0.925


Pd2Pt2Au PBE-GGA relaxed; energy above the most stable polymorph in this dataset = 140 meV/atom; V = 17.93 Å³/atom; electronic total energy = -4.86 eV/atom; DFT formation energy = 0.2845 eV/atom; DOS at the Fermi energy = 9.11 states/eV per cell; symmetry = I4/mmm, No. 139
1.0
3.662 0.000 0.000
0.000 3.662 0.000
1.831 1.831 6.683
Au Pd Pt
1 2 2
Direct
0.000 0.000 0.000
0.599 0.599 0.802
0.401 0.401 0.198
0.750 0.250 0.500
0.250 0.750 0.500


Pd2PtAu4 PBE-GGA relaxed; energy above the most stable polymorph in this dataset = 0 meV/atom; V = 17.20 Å³/atom; electronic total energy = -4.20 eV/atom; DFT formation energy = 0.0233 eV/atom; DOS at the Fermi energy = 5.04 states/eV per cell; symmetry = Immm, No. 71
1.0
2.796 0.000 -0.468
-0.204 4.649 -1.221
0.111 -0.054 9.259
Au Pt Pd
4 1 2
Direct
0.639 0.139 0.277
0.361 0.861 0.723
0.918 0.418 0.837
0.082 0.582 0.163
0.000 0.000 0.000
0.724 0.725 0.449
0.276 0.275 0.551


PdPtAu2 PBE-GGA relaxed; energy above the most stable polymorph in this dataset = 23 meV/atom; V = 16.80 Å³/atom; electronic total energy = -4.42 eV/atom; DFT formation energy = 0.0288 eV/atom; DOS at the Fermi energy = 1.95 states/eV per cell; symmetry = Fm-3m, No. 225
1.0
3.704 -1.808 -1.959
1.742 -3.909 1.585
-0.359 -3.824 -2.465
Pt Pd Au
1 1 2
Direct
0.500 0.500 0.500
0.000 0.000 0.000
0.250 0.250 0.250
0.750 0.750 0.750


PdPt2Au6 PBE-GGA relaxed; energy above the most stable polymorph in this dataset = 79 meV/atom; V = 17.57 Å³/atom; electronic total energy = -4.02 eV/atom; DFT formation energy = 0.0798 eV/atom; DOS at the Fermi energy = 3.60 states/eV per cell; symmetry = Immm, No. 71
1.0
-0.624 -2.103 1.723
6.425 0.552 5.259
-0.304 4.146 7.209
Au Pt Pd
6 2 1
Direct
0.000 0.176 0.824
0.000 0.824 0.176
0.171 0.503 0.156
0.829 0.844 0.497
0.171 0.155 0.503
0.829 0.497 0.845
0.654 0.846 0.846
0.346 0.154 0.154
0.500 0.500 0.500


Pd3Pt12Au PBE-GGA relaxed; V = 15.71 Å³/atom; electronic total energy = -5.72 eV/atom; DFT formation energy = -0.0092 eV/atom; DOS at the Fermi energy = 30.77 states/eV per cell; symmetry = P4/mmm, No. 123
1.0
3.966 0.000 0.000
0.000 3.966 0.000
0.000 0.000 15.989
Pt Pd Au
12 3 1
Direct
0.000 0.500 0.128
0.500 0.500 0.000
0.500 0.000 0.376
0.500 0.500 0.500
0.500 0.000 0.128
0.500 0.500 0.748
0.500 0.000 0.872
0.000 0.500 0.376
0.500 0.000 0.624
0.000 0.500 0.624
0.000 0.500 0.872
0.500 0.500 0.252
0.000 0.000 0.253
0.000 0.000 0.500
0.000 0.000 0.747
0.000 0.000 0.000


Pu4Pd2PtAu PBE-GGA relaxed; V = 22.34 Å³/atom; electronic total energy = -10.12 eV/atom; DFT formation energy = -0.4877 eV/atom; DOS at the Fermi energy = 35.95 states/eV per cell; symmetry = R-3m, No. 166
1.0
-4.027 -2.340 1.917
-1.117 -4.691 -1.455
2.878 -5.307 6.182
Pu Pt Pd Au
4 1 2 1
Direct
0.380 0.380 0.859
0.620 0.620 0.141
0.130 0.130 0.610
0.870 0.870 0.390
0.500 0.500 0.500
0.745 0.745 0.764
0.255 0.255 0.236
0.000 0.000 0.000


PuPdPtAu PBE-GGA relaxed; energy above the most stable polymorph in this dataset = 0 meV/atom; V = 18.86 Å³/atom; electronic total energy = -7.73 eV/atom; DFT formation energy = -0.5214 eV/atom; DOS at the Fermi energy = 14.54 states/eV per cell; symmetry = Pmmm, No. 47
1.0
-3.826 1.204 0.298
-0.547 -0.678 -4.291
-1.207 -4.033 0.791
Pd Pt Pu Au
1 1 1 1
Direct
0.000 0.500 0.500
0.000 0.000 0.000
0.500 0.000 0.500
0.500 0.500 0.000


Pu2Pd5PtAu2 PBE-GGA relaxed; V = 19.09 Å³/atom; electronic total energy = -7.04 eV/atom; DFT formation energy = -0.3224 eV/atom; DOS at the Fermi energy = 68.27 states/eV per cell; symmetry = P4/mbm, No. 127
1.0
-1.709 -3.618 -0.662
6.704 -4.196 5.620
-5.698 1.275 7.749
Au Pd Pu Pt
4 10 4 2
Direct
0.000 0.874 0.374
0.000 0.126 0.626
0.000 0.626 0.874
0.000 0.374 0.126
0.500 0.451 0.302
0.500 0.802 0.951
0.500 0.549 0.698
0.500 0.500 0.000
0.500 0.000 0.500
0.500 0.049 0.802
0.500 0.698 0.451
0.500 0.302 0.549
0.500 0.951 0.198
0.500 0.198 0.049
0.000 0.674 0.174
0.000 0.826 0.674
0.000 0.174 0.326
0.000 0.326 0.826
0.000 0.500 0.500
0.000 0.000 0.000


Question: Among the records above, which one has the lowest DOS at the Fermi energy?
Answer: PdPtAu2